A plane-wave DFT calculation with PBE-GGA was carried out for La4Pm2Sm3 after structural relaxation.

Cell: 8.238 8.238 8.217 Å, 107.48 107.48 36.99°
Fractional positions:
La (0.055, 0.055, 0.332)
La (0.277, 0.277, 0.668)
La (0.723, 0.723, 0.332)
La (0.945, 0.945, 0.668)
Pm (0.167, 0.167, 0.000)
Pm (0.833, 0.833, 0.000)
Sm (0.388, 0.388, 0.331)
Sm (0.500, 0.500, 0.000)
Sm (0.612, 0.612, 0.669)

energy above the most stable polymorph in this dataset = 0.0 kJ per mole of atoms
VASP energy = -4.80 eV per atom
formation energy from the elements = 0.2 eV/f.u.
DOS at the Fermi energy = 1.750 states/eV per atom
space-group type = C2/m, No. 12